First-principles (PBEsol) data for a relaxed Sr2ScNbO6 crystal, as listed in Alexandria.

```
Sr2ScNbO6
1.0
-4.960 1.927 2.072
-2.199 -0.017 -5.249
-2.491 -7.570 1.077
Sr Sc Nb O
4 2 2 12
Direct
0.526 0.006 0.750 Sr
0.474 0.994 0.250 Sr
0.026 0.494 0.750 Sr
0.974 0.506 0.250 Sr
0.000 0.000 0.000 Sc
0.500 0.500 0.500 Sc
0.000 0.000 0.500 Nb
0.500 0.500 0.000 Nb
0.285 0.226 0.966 O
0.715 0.774 0.034 O
0.785 0.274 0.534 O
0.215 0.726 0.466 O
0.987 0.934 0.745 O
0.013 0.066 0.255 O
0.487 0.566 0.755 O
0.513 0.434 0.245 O
0.775 0.286 0.964 O
0.225 0.714 0.036 O
0.275 0.214 0.536 O
0.725 0.786 0.464 O
```

magnetization = 0.00 μB per atom
formation energy without anion corrections = -3.128 eV per atom